[1]
The following is a GGA-PBE calculation of ScNiTe2I after structural relaxation, from Alexandria via LeMat-Bulk.

```
ScNiTe2I
1.0
5.1240 0.0000 0.0000
0.0000 5.1240 0.0000
0.0000 0.0000 5.1343
Sc Ni Te I
1 1 2 1
direct
0.0000 0.0000 0.0000
0.5000 0.5000 0.5000
0.0000 0.5000 0.5000
0.5000 0.0000 0.5000
0.5000 0.5000 0.0000
```

Summary:
Total moment in μB per atom: 0.000
Excess energy over the best structure of this formula in the dataset in meV/atom: 0
Density in g/cm3: 5.984
Space-group type: No. 123

---

[2]
The following is a GGA-PBE calculation of Pm8SnSb5 after structural relaxation, from Alexandria via LeMat-Bulk.

```
Pm8SnSb5
1.0
-4.7289 4.7289 4.7294
4.7289 -4.7289 4.7294
4.7289 4.7289 -4.7294
Pm Sn Sb
8 1 5
direct
0.0156 0.6239 0.7486
0.2331 0.4827 0.1078
0.3748 0.1253 0.8922
0.3761 0.1246 0.3917
0.5173 0.6252 0.7505
0.7329 0.9844 0.6083
0.8754 0.2671 0.2514
0.8747 0.7669 0.2495
0.0000 0.0000 0.0000
0.1255 0.2499 0.6253
0.2500 0.7500 0.5000
0.4998 0.8745 0.1243
0.6246 0.5002 0.3747
0.7501 0.3754 0.8757
```

Summary:
Total moment in μB per atom: 0.000
Density in g/cm3: 7.409
E_tot in Ry per atom: -0.403
Space-group type: No. 82

---

[3]
The following is a GGA-PBE calculation of NdPuZnCd after structural relaxation, from Alexandria via LeMat-Bulk.

```
NdPuZnCd
1.0
0.0000 3.7379 3.7379
3.7379 0.0000 3.7379
3.7379 3.7379 0.0000
Nd Pu Zn Cd
1 1 1 1
direct
0.0000 0.0000 0.0000
0.5000 0.5000 0.5000
0.2500 0.2500 0.2500
0.7500 0.7500 0.7500
```

Summary:
Total moment in μB per atom: 1.570
Density in g/cm3: 8.999
E_tot in Ry per atom: -0.399
Space-group type: No. 216

---

Repeat the first record exactly.
The following is a GGA-PBE calculation of ScNiTe2I after structural relaxation, from Alexandria via LeMat-Bulk.

```
ScNiTe2I
1.0
5.1240 0.0000 0.0000
0.0000 5.1240 0.0000
0.0000 0.0000 5.1343
Sc Ni Te I
1 1 2 1
direct
0.0000 0.0000 0.0000
0.5000 0.5000 0.5000
0.0000 0.5000 0.5000
0.5000 0.0000 0.5000
0.5000 0.5000 0.0000
```

Summary:
Total moment in μB per atom: 0.000
Excess energy over the best structure of this formula in the dataset in meV/atom: 0
Density in g/cm3: 5.984
Space-group type: No. 123

---

What did the second record say?
The following is a GGA-PBE calculation of Pm8SnSb5 after structural relaxation, from Alexandria via LeMat-Bulk.

```
Pm8SnSb5
1.0
-4.7289 4.7289 4.7294
4.7289 -4.7289 4.7294
4.7289 4.7289 -4.7294
Pm Sn Sb
8 1 5
direct
0.0156 0.6239 0.7486
0.2331 0.4827 0.1078
0.3748 0.1253 0.8922
0.3761 0.1246 0.3917
0.5173 0.6252 0.7505
0.7329 0.9844 0.6083
0.8754 0.2671 0.2514
0.8747 0.7669 0.2495
0.0000 0.0000 0.0000
0.1255 0.2499 0.6253
0.2500 0.7500 0.5000
0.4998 0.8745 0.1243
0.6246 0.5002 0.3747
0.7501 0.3754 0.8757
```

Summary:
Total moment in μB per atom: 0.000
Density in g/cm3: 7.409
E_tot in Ry per atom: -0.403
Space-group type: No. 82